Record 1
Material: PmTlAgPb
Method: DFT, PBE-GGA
State: optimized geometry

Properties
Energy above the most stable polymorph in this dataset: 0.0 meV/atom

Unit cell a=4.5851 b=4.6553 c=4.8820 alpha=90.00 beta=90.00 gamma=90.00
With the nearest neighbours (Å) after each atom.
Space group Pmmm (No. 47)
Unique sites:
Pm 0.0000 0.0000 0.0000  4 Pb 3.27, 4 Tl 3.35, 4 Ag 3.37
Tl 0.5000 0.0000 0.5000  4 Ag 3.27, 4 Pm 3.35, 4 Pb 3.37
Ag 0.0000 0.5000 0.5000  4 Tl 3.27, 4 Pb 3.35, 4 Pm 3.37
Pb 0.5000 0.5000 0.0000  4 Pm 3.27, 4 Ag 3.35, 4 Tl 3.37

=====

Record 2
Material: KCoAsSe2
Method: DFT, PBE-GGA
State: optimized geometry

Properties
Energy relative to the elements, uncorrected: 9.393 eV/f.u.
Energy above the most stable polymorph in this dataset: 1993.3 meV/atom

Unit cell a=5.5702 b=5.5702 c=5.3664 alpha=90.00 beta=90.00 gamma=90.00
With the nearest neighbours (Å) after each atom.
Space group P4/mmm (No. 123)
Unique sites:
K 0.0000 0.0000 0.0000  2 As 2.68, 4 Se 2.79
Co 0.5000 0.5000 0.5000  8 Se 3.87, 4 As 3.94
As 0.0000 0.0000 0.5000  2 K 2.68
Se 0.0000 0.5000 0.0000  2 K 2.79

=====

Record 3
Material: GdDyTcPd
Method: DFT, PBE-GGA
State: optimized geometry

Properties
Calculated total energy: -0.65420 Ry per atom

Unit cell a=6.9337 b=6.9337 c=6.9337 alpha=90.00 beta=90.00 gamma=90.00
With the nearest neighbours (Å) after each atom.
Space group F-43m (No. 216)
Unique sites:
Gd 0.0000 0.0000 0.0000  4 Tc 3.00, 4 Pd 3.00
Dy 0.0000 0.0000 0.5000  4 Tc 3.00, 4 Pd 3.00
Tc 0.2500 0.2500 0.7500  4 Gd 3.00, 4 Dy 3.00
Pd 0.2500 0.2500 0.2500  4 Gd 3.00, 4 Dy 3.00

=====

Record 4
Material: Th2ZrAg
Method: DFT, PBE-GGA
State: optimized geometry

Properties
Energy above the most stable polymorph in this dataset: 19.6 meV/atom

Unit cell a=5.5943 b=5.5943 c=3.4483 alpha=90.00 beta=90.00 gamma=90.00
With the nearest neighbours (Å) after each atom.
Space group P4/mmm (No. 123)
Unique sites:
Th 0.0000 0.5000 0.0000  4 Zr 3.29, 4 Ag 3.29, 2 Th 3.45
Zr 0.0000 0.0000 0.5000  8 Th 3.29, 2 Zr 3.45
Ag 0.5000 0.5000 0.5000  8 Th 3.29, 2 Ag 3.45

=====

Record 5
Material: BaNa2SnCl6
Method: DFT, PBE-GGA
State: optimized geometry

Properties
Energy relative to the elements, uncorrected: -17.605 eV/f.u.

Unit cell a=7.3917 b=7.3917 c=19.3415 alpha=90.00 beta=90.00 gamma=120.00
With the nearest neighbours (Å) after each atom.
Space group R3 (No. 146, hexagonal axes)
Unique sites:
Ba 0.0000 0.0000 0.0000  6 Cl 3.09-3.12
Na 0.0000 0.0000 0.2857  6 Cl 2.78-2.96
Na 0.0000 0.0000 0.7952  6 Cl 2.82-2.88
Sn 0.0000 0.0000 0.4896  6 Cl 2.82-2.96
Cl 0.0184 0.3128 0.8879  2 Na 2.78-2.88, 1 Sn 2.96
Cl 0.0315 0.6291 0.0596  2 Na 2.82-2.96, 1 Sn 2.82, 1 Ba 3.09

=====

Record 6
Material: Al6Ru7
Method: DFT, PBE-GGA
State: optimized geometry

Properties
Calculated total energy: -0.50185 Ry per atom

Unit cell a=5.1483 b=5.1483 c=25.8827 alpha=90.00 beta=90.00 gamma=120.00
With the nearest neighbours (Å) after each atom.
Space group R-3m (No. 166, hexagonal axes)
Unique sites:
Al 0.0000 0.0000 0.0494  2 Al 2.55-2.71, 6 Ru 2.75
Al 0.0000 0.0000 0.1541  1 Al 2.71, 6 Ru 2.80-2.99
Al 0.0000 0.0000 0.3362  6 Ru 2.65-2.73
Ru 0.0000 0.0000 0.5000  6 Ru 2.58
Ru 0.0089 0.5045 0.9136  5 Ru 2.51-2.64, 5 Al 2.65-2.80

=====

Record 7
Material: TbCd6
Method: DFT, PBE-GGA
State: optimized geometry

Properties
Energy above the most stable polymorph in this dataset: 539.5 meV/atom

Unit cell a=7.6954 b=7.6954 c=7.6954 alpha=90.00 beta=90.00 gamma=90.00
With the nearest neighbours (Å) after each atom.
Space group Im-3m (No. 229)
Unique sites:
Tb 0.0000 0.0000 0.0000  24 Cd 4.30
Cd 0.0000 0.2500 0.5000  4 Cd 2.72

=====

Record 8
Material: FeRuPb2
Method: DFT, PBE-GGA
State: optimized geometry

Properties
Energy above the most stable polymorph in this dataset: 367.5 meV/atom

Unit cell a=4.0132 b=4.0132 c=9.6943 alpha=90.00 beta=90.00 gamma=90.00
With the nearest neighbours (Å) after each atom.
Space group I-4m2 (No. 119)
Unique sites:
Fe 0.0000 0.0000 0.0000  8 Pb 2.84-3.15, 4 Ru 3.15
Ru 0.0000 0.5000 0.2500  8 Pb 2.84-3.15, 4 Fe 3.15
Pb 0.0000 0.0000 0.5000  4 Fe 2.84, 4 Ru 3.15, 4 Pb 3.15
Pb 0.0000 0.5000 0.7500  4 Ru 2.84, 4 Fe 3.15, 4 Pb 3.15

=====

Record 9
Material: VReS3
Method: DFT, PBE-GGA
State: optimized geometry

Properties
Energy relative to the elements, uncorrected: 2.722 eV/f.u.
Energy above the most stable polymorph in this dataset: 881.8 meV/atom

Unit cell a=4.6425 b=4.6425 c=4.6425 alpha=90.00 beta=90.00 gamma=90.00
With the nearest neighbours (Å) after each atom.
Space group Pm-3m (No. 221)
Unique sites:
V 0.0000 0.0000 0.0000  12 S 3.28
Re 0.5000 0.5000 0.5000  6 S 2.32
S 0.0000 0.5000 0.5000  2 Re 2.32

=====

Record 10
Material: HfReSi2
Method: DFT, PBE-GGA
State: optimized geometry

Properties
Energy relative to the elements, uncorrected: -1.458 eV/f.u.

Unit cell a=4.1176 b=4.1176 c=13.0452 alpha=90.00 beta=90.00 gamma=120.00
With the nearest neighbours (Å) after each atom.
Space group R-3m (No. 166, hexagonal axes)
Unique sites:
Hf 0.0000 0.0000 0.0000  8 Si 2.80-2.87
Re 0.0000 0.0000 0.5000  6 Si 2.48
Si 0.0000 0.0000 0.2198  3 Re 2.48, 3 Si 2.75

=====

Record 11
Material: NpGeAu
Method: DFT, PBE-GGA
State: optimized geometry

Properties
Calculated total energy: -0.52598 Ry per atom

Unit cell a=4.7494 b=4.7494 c=3.1402 alpha=90.00 beta=90.00 gamma=120.00
With the nearest neighbours (Å) after each atom.
Space group P-6m2 (No. 187)
Unique sites:
Np 0.0000 0.0000 0.0000  2 Np 3.14, 6 Au 3.16, 6 Ge 3.16
Ge 0.3333 0.6667 0.5000  3 Au 2.74
Au 0.6667 0.3333 0.5000  3 Ge 2.74

=====

Record 12
Material: CuBiAsRu2
Method: DFT, PBE-GGA
State: optimized geometry

Properties
Calculated total energy: -0.37547 Ry per atom

Unit cell a=4.5549 b=4.5549 c=5.4413 alpha=90.00 beta=90.00 gamma=90.00
With the nearest neighbours (Å) after each atom.
Space group P4/mmm (No. 123)
Unique sites:
Cu 0.0000 0.0000 0.0000  4 Bi 3.22, 8 Ru 3.55
Bi 0.5000 0.5000 0.0000  2 As 2.72
As 0.5000 0.5000 0.5000  4 Ru 2.28
Ru 0.0000 0.5000 0.5000  2 As 2.28

=====

Record 13
Material: NaCa2Cl2
Method: DFT, PBE-GGA
State: optimized geometry

Properties
Energy relative to the elements, uncorrected: -6.532 eV/f.u.

Unit cell a=4.8200 b=4.8200 c=13.7132 alpha=90.00 beta=90.00 gamma=90.00
With the nearest neighbours (Å) after each atom.
Space group I4/mmm (No. 139)
Unique sites:
Na 0.0000 0.0000 0.0000  8 Ca 3.89, 8 Cl 4.19
Ca 0.0000 0.0000 0.3629  4 Cl 2.86
Cl 0.0000 0.5000 0.2500  4 Ca 2.86

=====

Record 14
Material: ZrV2H3
Method: DFT, PBE-GGA
State: optimized geometry

Properties
Calculated total energy: -0.46578 Ry per atom

Unit cell a=14.2976 b=3.2873 c=4.8866 alpha=90.00 beta=96.40 gamma=90.00
With the nearest neighbours (Å) after each atom.
Space group C2/m (No. 12)
Unique sites:
Zr 0.0938 0.0000 0.2098  4 H 2.02-2.10
V 0.0996 0.5000 0.7100  5 H 1.83-1.91
V 0.2432 0.0000 0.7650  3 H 1.86-1.90
H 0.0347 0.5000 0.3593  1 H 1.78, 2 V 1.86-1.91
H 0.0531 0.0000 0.7945  2 V 1.84, 1 Zr 2.05
H 0.2169 0.5000 0.5942  4 V 1.83-1.90

=====

Record 15
Material: Ca2Hg2Sb
Method: DFT, PBE-GGA
State: optimized geometry

Properties
Energy relative to the elements, uncorrected: -1.484 eV/f.u.
Energy above the most stable polymorph in this dataset: 236.5 meV/atom

Unit cell a=5.7789 b=5.7789 c=9.5496 alpha=90.00 beta=90.00 gamma=90.00
With the nearest neighbours (Å) after each atom.
Space group I4/mmm (No. 139)
Unique sites:
Ca 0.0000 0.5000 0.2500  4 Hg 3.06
Hg 0.0000 0.0000 0.1452  1 Hg 2.77, 4 Ca 3.06
Sb 0.0000 0.0000 0.5000  2 Hg 3.39, 8 Ca 3.75

=====

Record 16
Material: Nb2V2Ru
Method: DFT, PBE-GGA
State: optimized geometry

Properties
Calculated total energy: -0.68284 Ry per atom

Unit cell a=5.5464 b=7.9389 c=15.1708 alpha=90.00 beta=90.00 gamma=90.00
With the nearest neighbours (Å) after each atom.
Space group Fmmm (No. 69)
Unique sites:
Nb 0.0000 0.0000 0.1802  4 Ru 2.64, 2 V 2.85
Nb 0.2341 0.0000 0.0000  1 Nb 2.60, 4 V 2.62
V 0.0000 0.1650 0.3867  2 Ru 2.58, 3 Nb 2.62-2.85, 1 V 2.62
Ru 0.2500 0.2500 0.2500  4 V 2.58, 4 Nb 2.64, 2 Ru 2.77

=====

Record 17
Material: Pm5Nd2Y2
Method: DFT, PBE-GGA
State: optimized geometry

Properties
Energy above the most stable polymorph in this dataset: 185.3 meV/atom

Unit cell a=15.0488 b=12.0298 c=6.8554 alpha=90.00 beta=90.00 gamma=90.00
With the nearest neighbours (Å) after each atom.
Space group Ima2 (No. 46)
Unique sites:
Pm 0.0521 0.2494 0.0000  4 Pm 3.20-3.43, 1 Nd 3.35, 1 Y 3.41
Pm 0.1433 0.7318 0.6802  4 Pm 3.20-3.46, 2 Y 3.39-3.58, 1 Nd 3.47
Pm 0.2500 0.2378 0.6940  6 Pm 3.27-3.65, 2 Nd 3.46-3.60, 2 Y 3.61
Nd 0.0000 0.0000 0.3214  4 Pm 3.35-3.66
Nd 0.2500 0.5041 0.8843  4 Pm 3.46-3.60, 2 Y 3.68, 2 Nd 3.79
Y 0.1262 0.5037 0.3478  4 Pm 3.39-3.61, 2 Nd 3.68-3.76, 2 Y 3.73-3.80

=====

Record 18
Material: Ce3CoSb
Method: DFT, PBE-GGA
State: optimized geometry

Properties
Energy relative to the elements, uncorrected: -1.660 eV/f.u.
Energy above the most stable polymorph in this dataset: 204.6 meV/atom

Unit cell a=6.8614 b=6.8614 c=19.5141 alpha=90.00 beta=90.00 gamma=120.00
With the nearest neighbours (Å) after each atom.
Space group R-3m (No. 166, hexagonal axes)
Unique sites:
Ce 0.0039 0.5019 0.4086  2 Co 2.60-2.74
Co 0.0000 0.0000 0.1707  6 Ce 2.60-2.74
Sb 0.0000 0.0000 0.3965  9 Ce 3.34-3.44

=====

Record 19
Material: BeCr2Cu
Method: DFT, PBE-GGA
State: optimized geometry

Properties
Calculated total energy: -0.48735 Ry per atom

Unit cell a=2.4321 b=3.8715 c=4.6834 alpha=90.00 beta=96.25 gamma=90.00
With the nearest neighbours (Å) after each atom.
Space group Pm (No. 6)
Unique sites:
Be 0.0000 0.0000 0.0000  2 Cu 2.27, 3 Cr 2.35-2.44, 2 Be 2.43
Cr 0.4201 0.0000 0.4765  4 Cr 2.33-2.43, 1 Be 2.35, 2 Cu 2.56
Cr 0.6168 0.5000 0.2285  4 Cr 2.33-2.43, 4 Be 2.44-2.61, 3 Cu 2.51-2.56
Cu 0.0187 0.5000 0.7465  2 Be 2.27, 2 Cu 2.43, 1 Cr 2.51

=====

Record 20
Material: KCa2Os
Method: DFT, PBE-GGA
State: optimized geometry

Properties
Energy above the most stable polymorph in this dataset: 282.0 meV/atom

Unit cell a=7.4642 b=7.4642 c=7.4642 alpha=90.00 beta=90.00 gamma=90.00
With the nearest neighbours (Å) after each atom.
Space group Fm-3m (No. 225)
Unique sites:
K 0.0000 0.0000 0.0000  8 Ca 3.23
Ca 0.2500 0.2500 0.2500  4 Os 3.23, 4 K 3.23
Os 0.0000 0.0000 0.5000  8 Ca 3.23

=====

Record 21
Material: Li2AlTc
Method: DFT, PBE-GGA
State: optimized geometry

Properties
Calculated total energy: -0.32233 Ry per atom

Unit cell a=4.0057 b=4.0057 c=6.8863 alpha=90.00 beta=90.00 gamma=90.00
With the nearest neighbours (Å) after each atom.
Space group I-4m2 (No. 119)
Unique sites:
Li 0.0000 0.0000 0.0000  4 Tc 2.64, 4 Li 2.64, 4 Al 2.83
Li 0.0000 0.5000 0.2500  4 Li 2.64, 4 Al 2.64, 4 Tc 2.83
Al 0.0000 0.0000 0.5000  4 Tc 2.64, 8 Li 2.64-2.83
Tc 0.0000 0.5000 0.7500  8 Li 2.64-2.83, 4 Al 2.64

=====

Record 22
Material: EuTmCuAg
Method: DFT, PBE-GGA
State: optimized geometry

Properties
Calculated total energy: -0.41170 Ry per atom

Unit cell a=7.2215 b=7.2215 c=7.2215 alpha=90.00 beta=90.00 gamma=90.00
With the nearest neighbours (Å) after each atom.
Space group F-43m (No. 216)
Unique sites:
Eu 0.0000 0.0000 0.0000  4 Cu 3.13, 4 Ag 3.13
Tm 0.0000 0.0000 0.5000  4 Cu 3.13, 4 Ag 3.13
Cu 0.2500 0.2500 0.2500  4 Tm 3.13, 4 Eu 3.13
Ag 0.2500 0.2500 0.7500  4 Tm 3.13, 4 Eu 3.13

=====

Record 23
Material: Cs2CaSn2Te4
Method: DFT, PBE-GGA
State: optimized geometry

Properties
Energy relative to the elements, uncorrected: -7.984 eV/f.u.

Unit cell a=19.0422 b=4.5053 c=9.6686 alpha=90.00 beta=117.00 gamma=90.00
With the nearest neighbours (Å) after each atom.
Space group C2/m (No. 12)
Unique sites:
Cs 0.1199 0.0000 0.0555  7 Te 3.79-4.07, 1 Sn 3.89, 1 Cs 4.19
Ca 0.0000 0.0000 0.5000  6 Te 3.21-3.25
Sn 0.1952 0.5000 0.5413  3 Te 2.87-3.01
Te 0.0359 0.5000 0.2981  1 Sn 2.87
Te 0.1845 0.0000 0.7379  2 Sn 3.01, 1 Ca 3.21

=====

Record 24
Material: MnCd3Cl8
Method: DFT, PBE-GGA
State: optimized geometry

Properties
Energy relative to the elements, uncorrected: -13.012 eV/f.u.

Unit cell a=13.3694 b=7.7216 c=7.7975 alpha=90.00 beta=125.45 gamma=90.00
With the nearest neighbours (Å) after each atom.
Space group C2/m (No. 12)
Unique sites:
Mn 0.0000 0.0000 0.0000  6 Cl 2.57
Cd 0.0000 0.5000 0.0000  6 Cl 2.66-2.68
Cd 0.2500 0.2500 0.0000  6 Cl 2.66-2.68
Cl 0.0048 0.2406 0.7770  1 Mn 2.57, 2 Cd 2.68
Cl 0.2357 0.0000 0.2230  1 Mn 2.57, 2 Cd 2.68
Cl 0.2438 0.5000 0.2280  3 Cd 2.66

=====

Record 25
Material: Cs5DySe4
Method: DFT, PBE-GGA
State: optimized geometry

Properties
Energy relative to the elements, uncorrected: -11.799 eV/f.u.

Unit cell a=21.4361 b=4.7209 c=9.3385 alpha=90.00 beta=108.99 gamma=90.00
With the nearest neighbours (Å) after each atom.
Space group C2/m (No. 12)
Unique sites:
Cs 0.0000 0.0000 0.0000  4 Se 3.61
Cs 0.1628 0.5000 0.8719  3 Se 3.32-3.34
Cs 0.1681 0.5000 0.3718  3 Se 3.39-3.42
Dy 0.0000 0.0000 0.5000  6 Se 2.96-3.05
Se 0.0007 0.5000 0.2935  2 Dy 3.05, 1 Cs 3.34
Se 0.1462 0.0000 0.6115  1 Dy 2.96

=====

Record 26
Material: CaMnV2
Method: DFT, PBE-GGA
State: optimized geometry

Properties
Energy above the most stable polymorph in this dataset: 321.8 meV/atom

Unit cell a=4.3559 b=4.3559 c=18.4284 alpha=90.00 beta=90.00 gamma=90.00
With the nearest neighbours (Å) after each atom.
Space group I4_1/amd (No. 141, origin choice 2)
Unique sites:
Ca 0.0000 0.2500 0.3750  4 Mn 3.08, 8 V 3.35
Mn 0.0000 0.2500 0.8750  4 V 2.55
V 0.0000 0.0000 0.0000  2 V 2.18